Record 1
Here is Ce4Sb2H3 after structural relaxation from Alexandria via LeMat-Bulk. Energies are from PBE-GGA.

## Properties
Calculated total energy: -47.31 eV/f.u.
Symmetry: Cmce
Density of states at the Fermi level: 44.72 states/eV/cell

Structure (POSCAR):
```
Ce4Sb2H3
1.0
3.111 -7.582 0.000
3.111 7.582 0.000
0.000 0.000 8.092
Ce Sb H
8 4 6
Direct
0.198 0.802 0.915
0.204 0.296 0.750
0.296 0.204 0.250
0.302 0.698 0.415
0.698 0.302 0.585
0.704 0.796 0.750
0.796 0.704 0.250
0.802 0.198 0.085
0.115 0.885 0.569
0.385 0.615 0.069
0.615 0.385 0.931
0.885 0.115 0.431
0.000 0.000 0.000
0.040 0.460 0.750
0.460 0.040 0.250
0.500 0.500 0.500
0.540 0.960 0.750
0.960 0.540 0.250
```

Record 2
Here is Ce5Sb4H3 after structural relaxation from Alexandria via LeMat-Bulk. Energies are from PBE-GGA.

## Properties
Calculated total energy: -63.07 eV/f.u.
Symmetry: C2/m
Density of states at the Fermi level: 22.85 states/eV/cell

Structure (POSCAR):
```
Ce5Sb4H3
1.0
7.935 -2.270 0.000
7.935 2.270 0.000
-0.043 0.000 8.758
Ce Sb H
5 4 3
Direct
0.000 0.000 0.000
0.207 0.207 0.745
0.498 0.498 0.733
0.502 0.502 0.267
0.793 0.793 0.255
0.347 0.347 0.009
0.351 0.351 0.494
0.649 0.649 0.506
0.653 0.653 0.991
0.050 0.050 0.749
0.500 0.500 0.000
0.950 0.950 0.251
```